K2MoF6 | Alexandria via LeMat-Bulk | GGA+U | optimized geometry; density of states at the Fermi level = 0.000 states/eV per atom; uncorrected energy = -90.86 eV/cell; calculated volume = 18.5 Å³/atom
1.0
6.409 0.000 0.000
0.000 7.803 0.000
-3.815 0.000 6.642
K Mo F
4 2 12
Cartesian
0.000 0.471 2.036 K
-1.907 3.430 5.357 K
4.501 4.373 1.285 K
2.593 7.331 4.606 K
3.204 0.000 0.000 Mo
1.297 3.901 3.321 Mo
-2.395 0.977 6.346 F
-0.487 2.924 3.025 F
0.360 5.581 2.854 F
-1.548 6.123 6.175 F
-0.133 0.250 4.733 F
1.775 3.651 1.412 F
0.819 4.152 5.230 F
2.727 7.552 1.909 F
4.142 1.680 0.467 F
2.234 2.222 3.788 F
3.081 4.878 3.617 F
4.989 6.826 0.296 F